A relaxed structure of MnBi2BrO. Source: Alexandria via LeMat-Bulk, functional GGA+U.

The structure in extended XYZ format:
```
5
Lattice="4.660 0.000 0.000 0.000 6.170 0.000 0.000 0.000 4.660" Properties=species:S:1:pos:R:3 pbc="T T T"
O 0.000 0.000 0.000
Mn 2.330 3.085 2.330
Bi 0.000 0.000 2.330
Bi 2.330 0.000 0.000
Br 0.000 3.085 0.000
```

Its crystal system is tetragonal. For the uncorrected energy, the calculation gives -0.1593 hartree per atom. The magnetization comes out at 4.4 μB per formula unit.